[1]
ZrTc2Os: relaxed, PBEsol.

Computed properties:
M_tot = 0.00 Bohr magnetons per cell
ΔH_f (0 K) = 0.05 eV per atom
excess energy over the best structure of this formula in the dataset = 0.000 eV/atom
crystal system = tetragonal

Structure (CIF):
```
data_ZrTc2Os
_chemical_formula_sum 'Zr1 Tc2 Os1'
_space_group_name_H-M_alt 'P 4 m m'
_space_group_IT_number 99
_cell_length_a 2.7876
_cell_length_b 2.7876
_cell_length_c 8.0530
_cell_angle_alpha 90.00
_cell_angle_beta 90.00
_cell_angle_gamma 90.00
loop_
_space_group_symop_operation_xyz
'x,y,z'
'-y,x,z'
'-x,-y,z'
'y,-x,z'
'-x,y,z'
'y,x,z'
'x,-y,z'
'-y,-x,z'
loop_
_atom_site_label
_atom_site_type_symbol
_atom_site_fract_x
_atom_site_fract_y
_atom_site_fract_z
_atom_site_occupancy
Zr1 Zr 0.0000 0.0000 0.0000 1
Tc1 Tc 0.0000 0.0000 0.4895 1
Tc2 Tc 0.5000 0.5000 0.7190 1
Os1 Os 0.5000 0.5000 0.2752 1
```

=====

[2]
Zr3TcOs: relaxed, PBEsol.

Computed properties:
M_tot = 0.00 Bohr magnetons per cell
ΔH_f (0 K) = 0.98 eV per atom
excess energy over the best structure of this formula in the dataset = 0.034 eV/atom
crystal system = cubic

Structure (CIF):
```
data_Zr3TcOs
_chemical_formula_sum 'Zr3 Tc1 Os1'
_space_group_name_H-M_alt 'P m -3 m'
_space_group_IT_number 221
_space_group_name_Hall '-P 4 2 3'
_cell_length_a 4.7923
_cell_length_b 4.7923
_cell_length_c 4.7923
_cell_angle_alpha 90.00
_cell_angle_beta 90.00
_cell_angle_gamma 90.00
loop_
_atom_site_label
_atom_site_type_symbol
_atom_site_fract_x
_atom_site_fract_y
_atom_site_fract_z
_atom_site_occupancy
Zr1 Zr 0.0000 0.0000 0.5000 1
Tc1 Tc 0.0000 0.0000 0.0000 1
Os1 Os 0.5000 0.5000 0.5000 1
```

=====

> What is the ΔH_f (0 K) in the first record?

0.05 eV per atom